1.
## PrCrC2 (PBE)

Data for an optimized crystal structure of PrCrC2.

```
12
Lattice="3.2902 0.0000 0.0000 -1.6451 2.8494 0.0000 0.0000 0.0000 16.5086" Properties=species:S:1:pos:R:3 pbc="T T T"
Pr 0.0000 0.0000 0.0000
Pr 0.0000 1.8996 11.0058
Pr 1.6451 0.9498 5.5029
Cr 0.0000 0.0000 8.2543
Cr 0.0000 1.8996 2.7514
Cr 1.6451 0.9498 13.7572
C 0.0000 0.0000 3.7225
C 0.0000 0.0000 12.7861
C 0.0000 1.8996 7.2832
C 0.0000 1.8996 14.7283
C 1.6451 0.9498 1.7803
C 1.6451 0.9498 9.2254
```

Summary:
- DOS(E_F) (states/eV per cell) = 7.7
- energy relative to the elements (eV/atom) = 0.404
- E (eV per atom) = -7.808

***

2.
## Ce4HgBi (PBE)

Data for an optimized crystal structure of Ce4HgBi.

```
12
Lattice="8.4330 -2.8262 0.0000 8.4330 2.8262 0.0000 -1.6460 0.0000 7.5197" Properties=species:S:1:pos:R:3 pbc="T T T"
Ce 6.4019 2.3231 4.0448
Ce 4.3009 1.1394 6.8034
Ce 7.9951 2.3231 7.2347
Ce 10.0961 1.1394 4.4761
Ce 5.1239 -1.1394 3.0435
Ce 7.2249 -2.3231 0.2850
Ce 10.9191 -1.1394 0.7163
Ce 8.8180 -2.3231 3.4749
Hg 3.3935 1.4131 3.7598
Hg 4.2165 -1.4131 0.0000
Bi 8.0215 0.4755 1.8799
Bi 7.1985 -0.4755 5.6397
```

Summary:
- excess energy over the best structure of this formula in the dataset (meV per atom) = 0.0
- DOS(E_F) (states/eV per cell) = 32.6
- energy relative to the elements (eV/atom) = -0.232
- E (eV per atom) = -4.886

***

3.
## DyEr2ZrP4 (PBE)

Data for an optimized crystal structure of DyEr2ZrP4.

```
8
Lattice="6.7722 0.0000 0.0000 0.0000 3.9074 0.0000 -2.2376 0.0000 6.3956" Properties=species:S:1:pos:R:3 pbc="T T T"
Dy 0.0000 0.0000 0.0000
Er 2.2673 0.0000 3.1978
Er 3.3861 1.9537 0.0000
Zr -1.1188 1.9537 3.1978
P -0.0174 0.0000 4.7356
P 1.0975 1.9537 1.6407
P 3.4371 1.9537 4.7550
P 4.5520 0.0000 1.6600
```

Summary:
- DOS(E_F) (states/eV per cell) = 1.5
- energy relative to the elements (eV/atom) = -1.551
- E (eV per atom) = -7.040